Model w:
The following is a DFT calculation (PBE) of a relaxed structure of LaTiBi2.

Total magnetic moment ... 0.21 μB per cell
DOS at the Fermi energy ... 5.93 states/eV per cell
Space-group type ... R-3m

```
LaTiBi2
1.0
-0.8345 1.6930 2.8822
-0.1724 -1.6860 2.9995
10.5448 2.1987 3.8206
Ti Bi La
1 2 1
Direct
0.5000 0.5000 0.5000 Ti
0.8996 0.8996 0.3012 Bi
0.1004 0.1004 0.6988 Bi
0.0000 0.0000 0.0000 La
```


Model x:
The following is a DFT calculation (PBE) of a relaxed structure of LaTiBi2.

Total magnetic moment ... 1.75 μB per cell
DOS at the Fermi energy ... 7.52 states/eV per cell
Space-group type ... I-42d

```
LaTiBi2
1.0
8.2769 0.0000 0.0000
0.0000 8.2769 0.0000
4.1384 4.1384 3.4926
La Bi Ti
2 4 2
Direct
0.0000 0.0000 0.0000 La
0.7500 0.2500 0.5000 La
0.1632 0.6250 0.2500 Bi
0.3750 0.4132 0.7500 Bi
0.5868 0.1250 0.2500 Bi
0.8750 0.8368 0.7500 Bi
0.5000 0.5000 0.0000 Ti
0.2500 0.7500 0.5000 Ti
```


Model y:
The following is a DFT calculation (PBE) of a relaxed structure of LaTiBi2.

Total magnetic moment ... 1.93 μB per cell
DOS at the Fermi energy ... 5.29 states/eV per cell
Space-group type ... Fm-3m

```
LaTiBi2
1.0
0.0000 3.8247 3.8247
3.8247 0.0000 3.8247
3.8247 3.8247 0.0000
Bi Ti La
2 1 1
Direct
0.2500 0.2500 0.2500 Bi
0.7500 0.7500 0.7500 Bi
0.0000 0.0000 0.0000 Ti
0.5000 0.5000 0.5000 La
```


Relative energy of each structure, in eV/atom: model w 0.327; model x 0.036; model y 0.000.


Model w:
The following is a DFT calculation (PBE) of a relaxed structure of LaTi2Bi2.

Total magnetic moment ... 0.64 μB per cell
DOS at the Fermi energy ... 13.20 states/eV per cell
Space-group type ... P4/mbm

```
LaTi2Bi2
1.0
-2.8546 7.3185 2.2650
-3.7007 0.7991 -7.2460
-3.0190 -1.6001 1.3654
Ti Bi La
4 4 2
Direct
0.8841 0.6159 0.0000 Ti
0.1159 0.3841 0.0000 Ti
0.6159 0.1159 0.0000 Ti
0.3841 0.8841 0.0000 Ti
0.6718 0.8282 0.5000 Bi
0.1718 0.6718 0.5000 Bi
0.8282 0.3282 0.5000 Bi
0.3282 0.1718 0.5000 Bi
0.0000 0.0000 0.0000 La
0.5000 0.5000 0.0000 La
```


Model x:
The following is a DFT calculation (PBE) of a relaxed structure of LaTi2Bi2.

Total magnetic moment ... 2.22 μB per cell
DOS at the Fermi energy ... 10.68 states/eV per cell
Space-group type ... P4/mbm

```
LaTi2Bi2
1.0
8.4309 0.0000 0.0000
0.0000 8.4309 0.0000
0.0000 0.0000 3.5392
Ti Bi La
4 4 2
Direct
0.8621 0.3621 0.5000 Ti
0.1379 0.6379 0.5000 Ti
0.6379 0.8621 0.5000 Ti
0.3621 0.1379 0.5000 Ti
0.1474 0.3526 0.0000 Bi
0.6474 0.1474 0.0000 Bi
0.8526 0.6474 0.0000 Bi
0.3526 0.8526 0.0000 Bi
0.0000 0.0000 0.0000 La
0.5000 0.5000 0.0000 La
```


Model y:
The following is a DFT calculation (PBE) of a relaxed structure of LaTi2Bi2.

Total magnetic moment ... 0.00 μB per cell
DOS at the Fermi energy ... 5.57 states/eV per cell
Space-group type ... I4/mmm

```
LaTi2Bi2
1.0
-2.5847 -2.8490 -1.7445
2.8156 -3.0449 0.8010
-2.9903 -4.1090 6.0276
La Ti Bi
1 2 2
Direct
0.0000 0.0000 0.0000 La
0.7500 0.2500 0.5000 Ti
0.2500 0.7500 0.5000 Ti
0.6168 0.6168 0.7664 Bi
0.3832 0.3832 0.2336 Bi
```


Relative energy of each structure, in eV/atom: model w 0.225; model x 0.239; model y 0.000.